No. 1
The following is a GGA-PBE calculation of CaLaPrDy after structural relaxation, from the Alexandria database.

## Properties
- Symmetry: P4mm
- Crystal system: tetragonal
- Magnetic moment: 0.0 μB per cell
- Energy of formation from the pure elements: 0.044 eV per atom
- Total DFT energy (no corrections): -4.03 eV per atom

Lattice parameters (Å, degrees): 3.691 3.691 10.686 90.00 90.00 90.00
Atoms (fractional coordinates):
Ca 0.000 0.000 0.000
La 0.500 0.500 0.730
Pr 0.500 0.500 0.263
Dy 0.000 0.000 0.494

---

No. 2
The following is a GGA-PBE calculation of BaMgCl2 after structural relaxation, from the Alexandria database.

## Properties
- Symmetry: I-4m2
- Crystal system: tetragonal
- ΔE_f (raw): -1.335 eV/atom
- Magnetic moment: 0.0 μB per cell
- Total DFT energy (no corrections): -3.14 eV per atom

Lattice parameters (Å, degrees): 6.717 6.717 6.717 140.43 140.43 57.20
Atoms (fractional coordinates):
Ba 0.000 0.000 0.000
Mg 0.750 0.250 0.500
Cl 0.250 0.750 0.500
Cl 0.500 0.500 0.000

---

No. 3
The following is a GGA-PBE calculation of Na2YZnSi after structural relaxation, from the Alexandria database.

## Properties
- Symmetry: P4/mmm
- Crystal system: tetragonal
- ΔE_f (raw): 0.273 eV/atom
- Magnetic moment: 0.0 μB per cell
- Total DFT energy (no corrections): -2.89 eV per atom

Lattice parameters (Å, degrees): 5.411 5.411 5.528 90.00 90.00 90.00
Atoms (fractional coordinates):
Na 0.000 0.500 0.000
Na 0.500 0.000 0.000
Y 0.000 0.000 0.500
Zn 0.500 0.500 0.500
Si 0.000 0.000 0.000

---

No. 4
The following is a GGA-PBE calculation of TbLuGaPt after structural relaxation, from the Alexandria database.

## Properties
- Symmetry: F-43m
- Crystal system: cubic
- Magnetic moment: 0.0 μB per cell
- Energy of formation from the pure elements: -0.883 eV per atom
- Total DFT energy (no corrections): -5.44 eV per atom

Lattice parameters (Å, degrees): 4.965 4.965 4.965 60.00 60.00 60.00
Atoms (fractional coordinates):
Tb 0.000 0.000 0.000
Lu 0.500 0.500 0.500
Ga 0.750 0.750 0.750
Pt 0.250 0.250 0.250

---

No. 5
The following is a GGA-PBE calculation of LaSm4Ho3 after structural relaxation, from the Alexandria database.

## Properties
- Symmetry: Pmn2_1
- Crystal system: orthorhombic
- Magnetic moment: 0.0 μB per cell
- Energy of formation from the pure elements: 0.028 eV per atom
- Total DFT energy (no corrections): -4.66 eV per atom

Lattice parameters (Å, degrees): 11.550 7.341 6.335 90.00 90.00 90.00
Atoms (fractional coordinates):
La 0.000 0.125 0.000
La 0.500 0.875 0.500
Sm 0.000 0.375 0.506
Sm 0.000 0.628 0.000
Sm 0.247 0.626 0.338
Sm 0.253 0.374 0.838
Sm 0.500 0.372 0.500
Sm 0.500 0.625 0.006
Sm 0.747 0.374 0.838
Sm 0.753 0.626 0.338
Ho 0.000 0.875 0.503
Ho 0.249 0.123 0.336
Ho 0.251 0.877 0.836
Ho 0.500 0.125 0.003
Ho 0.749 0.877 0.836
Ho 0.751 0.123 0.336

---

No. 6
The following is a GGA-PBE calculation of Tl2CrFe after structural relaxation, from the Alexandria database.

## Properties
- Symmetry: P4/mmm
- Crystal system: tetragonal
- Magnetic moment: 6.1 μB per cell
- Energy of formation from the pure elements: 0.709 eV per atom
- Total DFT energy (no corrections): -5.00 eV per atom

Lattice parameters (Å, degrees): 4.428 4.428 3.868 90.00 90.00 90.00
Atoms (fractional coordinates):
Tl 0.000 0.500 0.000
Tl 0.500 0.000 0.000
Cr 0.000 0.000 0.500
Fe 0.500 0.500 0.500

---

No. 7
The following is a GGA-PBE calculation of KAg2IO4 after structural relaxation, from the Alexandria database.

## Properties
- Symmetry: P1
- Crystal system: triclinic
- ΔE_f (raw): -0.477 eV/atom
- Magnetic moment: 0.0 μB per cell
- Total DFT energy (no corrections): -4.00 eV per atom

Lattice parameters (Å, degrees): 5.849 5.880 5.886 92.02 118.06 118.16
Atoms (fractional coordinates):
K 0.000 0.000 0.000
Ag 0.002 0.462 0.541
Ag 0.500 0.253 0.746
I 0.500 0.756 0.244
O 0.163 0.483 0.239
O 0.434 0.510 0.943
O 0.565 0.057 0.489
O 0.833 0.758 0.517

---

No. 8
The following is a GGA-PBE calculation of Sc2Ga2Rh after structural relaxation, from the Alexandria database.

## Properties
- Symmetry: C2/m
- Crystal system: monoclinic
- Magnetic moment: 0.0 μB per cell
- Energy of formation from the pure elements: -0.744 eV per atom
- Total DFT energy (no corrections): -5.96 eV per atom

Lattice parameters (Å, degrees): 5.521 5.521 10.271 113.00 113.00 40.78
Atoms (fractional coordinates):
Sc 0.002 0.002 0.324
Sc 0.188 0.188 0.122
Sc 0.812 0.812 0.878
Sc 0.998 0.998 0.676
Ga 0.360 0.360 0.450
Ga 0.464 0.464 0.106
Ga 0.536 0.536 0.894
Ga 0.640 0.640 0.550
Rh 0.291 0.291 0.672
Rh 0.709 0.709 0.328

---

No. 9
The following is a GGA-PBE calculation of Zr2BeIr after structural relaxation, from the Alexandria database.

## Properties
- Symmetry: Imm2
- Crystal system: orthorhombic
- Magnetic moment: 0.0 μB per cell
- Energy of formation from the pure elements: -0.352 eV per atom
- Total DFT energy (no corrections): -7.77 eV per atom

Lattice parameters (Å, degrees): 5.647 5.647 5.647 147.69 132.75 58.40
Atoms (fractional coordinates):
Zr 0.000 0.000 0.000
Zr 0.728 0.228 0.500
Be 0.296 0.796 0.500
Ir 0.477 0.477 0.000

---

No. 10
The following is a GGA-PBE calculation of Ta4BeCr after structural relaxation, from the Alexandria database.

## Properties
- Symmetry: F-43m
- Crystal system: cubic
- Magnetic moment: 2.8 μB per cell
- Energy of formation from the pure elements: 0.798 eV per atom
- Total DFT energy (no corrections): -9.33 eV per atom

Lattice parameters (Å, degrees): 5.376 5.376 5.376 60.00 60.00 60.00
Atoms (fractional coordinates):
Ta 0.125 0.125 0.125
Ta 0.125 0.125 0.624
Ta 0.125 0.624 0.125
Ta 0.624 0.125 0.125
Be 0.750 0.750 0.750
Cr 0.500 0.500 0.500

---

No. 11
The following is a GGA-PBE calculation of CrAs2RhBr after structural relaxation, from the Alexandria database.

## Properties
- Symmetry: P4/mmm
- Crystal system: tetragonal
- ΔE_f (raw): 0.390 eV/atom
- Magnetic moment: 4.2 μB per cell
- Total DFT energy (no corrections): -5.20 eV per atom

Lattice parameters (Å, degrees): 4.626 4.626 5.542 90.00 90.00 90.00
Atoms (fractional coordinates):
Cr 0.000 0.000 0.000
As 0.000 0.500 0.500
As 0.500 0.000 0.500
Rh 0.000 0.000 0.500
Br 0.500 0.500 0.000

---

No. 12
The following is a GGA-PBE calculation of SrTl3Hg3 after structural relaxation, from the Alexandria database.

## Properties
- Symmetry: P2_13
- Crystal system: cubic
- Magnetic moment: 0.0 μB per cell
- Energy of formation from the pure elements: -0.180 eV per atom
- Total DFT energy (no corrections): -1.56 eV per atom

Lattice parameters (Å, degrees): 9.469 9.469 9.469 90.00 90.00 90.00
Atoms (fractional coordinates):
Sr 0.044 0.456 0.544
Sr 0.456 0.544 0.044
Sr 0.544 0.044 0.456
Sr 0.956 0.956 0.956
Tl 0.113 0.613 0.887
Tl 0.167 0.833 0.333
Tl 0.177 0.177 0.177
Tl 0.323 0.823 0.677
Tl 0.333 0.167 0.833
Tl 0.387 0.387 0.387
Tl 0.613 0.887 0.113
Tl 0.667 0.667 0.667
Tl 0.677 0.323 0.823
Tl 0.823 0.677 0.323
Tl 0.833 0.333 0.167
Tl 0.887 0.113 0.613
Hg 0.024 0.297 0.876
Hg 0.124 0.524 0.203
Hg 0.203 0.124 0.524
Hg 0.297 0.876 0.024
Hg 0.376 0.476 0.703
Hg 0.476 0.703 0.376
Hg 0.524 0.203 0.124
Hg 0.624 0.976 0.797
Hg 0.703 0.376 0.476
Hg 0.797 0.624 0.976
Hg 0.876 0.024 0.297
Hg 0.976 0.797 0.624